Entry 1:
The following is a GGA-PBE calculation of a relaxed TmSc5Ga3 crystal, from Alexandria via LeMat-Bulk.

As for the total energy: -98.8 eV per cell. As for the formation energy from the elements: -0.466 eV per atom.

The space group is P6_3/mcm (No. 193) and the conventional cell measures 8.4192, 8.4192 and 6.2007 Å, with angles of 90.00, 90.00 and 120.00 degrees. The distinct sites, in fractional coordinates, are Tm at (0.0000, 0.0000, 0.0000), Sc at (0.0000, 0.3386, 0.2500), Sc at (0.3333, 0.6667, 0.0000) and Ga at (0.0000, 0.3328, 0.7500).

Entry 2:
The following is a GGA-PBE calculation of a relaxed TmSc2Zn2Ga2 crystal, from Alexandria via LeMat-Bulk.

As for the total energy: -85.4 eV per cell. As for the formation energy from the elements: -0.392 eV per atom.

The space group is R-3m (No. 166, hexagonal axes) and the conventional cell measures 4.3666, 4.3666 and 25.2688 Å, with angles of 90.00, 90.00 and 120.00 degrees. The distinct sites, in fractional coordinates, are Tm at (0.0000, 0.0000, 0.0000), Sc at (0.0000, 0.0000, 0.1297), Zn at (0.0000, 0.0000, 0.4044) and Ga at (0.0000, 0.0000, 0.2568).

Entry 3:
The following is a GGA-PBE calculation of a relaxed TmScZn2Ga2 crystal, from Alexandria via LeMat-Bulk.

As for the total energy: -22.6 eV per cell. As for the formation energy from the elements: -0.538 eV per atom.

The space group is P-3m1 (No. 164) and the conventional cell measures 4.3448, 4.3448 and 6.8302 Å, with angles of 90.00, 90.00 and 120.00 degrees. The distinct sites, in fractional coordinates, are Tm at (0.0000, 0.0000, 0.0000), Sc at (0.0000, 0.0000, 0.5000), Zn at (0.3333, 0.6667, 0.2726) and Ga at (0.3333, 0.6667, 0.7367).

Entry 4:
The following is a GGA-PBE calculation of a relaxed Tm2ScZn2Ga2 crystal, from Alexandria via LeMat-Bulk.

As for the total energy: -79.3 eV per cell. As for the formation energy from the elements: -0.364 eV per atom.

The space group is R-3m (No. 166, hexagonal axes) and the conventional cell measures 4.3684, 4.3684 and 26.3693 Å, with angles of 90.00, 90.00 and 120.00 degrees. The distinct sites, in fractional coordinates, are Tm at (0.0000, 0.0000, 0.1248), Sc at (0.0000, 0.0000, 0.0000), Zn at (0.0000, 0.0000, 0.3892) and Ga at (0.0000, 0.0000, 0.2671).

Entry 5:
The following is a GGA-PBE calculation of a relaxed TmScZnGa crystal, from Alexandria via LeMat-Bulk.

As for the total energy: -68.2 eV per cell. As for the formation energy from the elements: -0.486 eV per atom.

The space group is F-43m (No. 216) and the conventional cell measures 6.868, 6.868 and 6.868 Å, with angles of 90.00, 90.00 and 90.00 degrees. The distinct sites, in fractional coordinates, are Tm at (0.000, 0.000, 0.000), Sc at (0.000, 0.000, 0.500), Zn at (0.250, 0.250, 0.250) and Ga at (0.250, 0.250, 0.750).

Entry 6:
The following is a GGA-PBE calculation of a relaxed ScUGa2 crystal, from Alexandria via LeMat-Bulk.

As for the total energy: -73.3 eV per cell. As for the formation energy from the elements: -0.187 eV per atom. The energy above the most stable polymorph in this dataset comes out at 0.127 eV/atom.

The space group is R-3m (No. 166, hexagonal axes) and the conventional cell measures 3.0843, 3.0843 and 29.0522 Å, with angles of 90.00, 90.00 and 120.00 degrees. The distinct sites, in fractional coordinates, are Sc at (0.0000, 0.0000, 0.0000), U at (0.0000, 0.0000, 0.5000) and Ga at (0.0000, 0.0000, 0.2543).

Entry 7:
The following is a GGA-PBE calculation of a relaxed Sc2UGa6 crystal, from Alexandria via LeMat-Bulk.

As for the total energy: -45.8 eV per cell. As for the formation energy from the elements: -0.410 eV per atom.

The space group is P6/mmm (No. 191) and the conventional cell measures 7.7868, 7.7868 and 3.1683 Å, with angles of 90.00, 90.00 and 120.00 degrees. The distinct sites, in fractional coordinates, are Sc at (0.3333, 0.6667, 0.0000), U at (0.0000, 0.0000, 0.0000) and Ga at (0.0000, 0.3388, 0.5000).

Entry 8:
The following is a GGA-PBE calculation of a relaxed ScU2Ga9 crystal, from Alexandria via LeMat-Bulk.

As for the total energy: -60.1 eV per cell. As for the formation energy from the elements: -0.329 eV per atom.

The space group is P4/mmm (No. 123) and the conventional cell measures 4.218, 4.218 and 12.646 Å, with angles of 90.00, 90.00 and 90.00 degrees. The distinct sites, in fractional coordinates, are Sc at (0.000, 0.000, 0.000), U at (0.000, 0.000, 0.329), Ga at (0.000, 0.500, 0.160), Ga at (0.000, 0.500, 0.500), Ga at (0.500, 0.500, 0.000) and Ga at (0.500, 0.500, 0.333).